*i*
# TaHg3H | Alexandria | PBE | relaxed
# Space group: Pm-3m, No. 221
data_TaHg3H
_space_group_name_H-M_alt 'P 1'
_space_group_IT_number 1
_space_group_name_Hall 'P 1'
_cell_length_a 4.413
_cell_length_b 4.413
_cell_length_c 4.413
_cell_angle_alpha 90.00
_cell_angle_beta 90.00
_cell_angle_gamma 90.00
loop_
_atom_site_label
_atom_site_type_symbol
_atom_site_fract_x
_atom_site_fract_y
_atom_site_fract_z
Ta1 Ta 0.500 0.500 0.500
Hg1 Hg 0.000 0.500 0.000
Hg2 Hg 0.000 0.000 0.500
Hg3 Hg 0.500 0.000 0.000
H1 H 0.000 0.000 0.000

***

*ii*
# TaHg3H | Alexandria | PBE | relaxed
# Space group: Pm-3m, No. 221
data_TaHg3H
_space_group_name_H-M_alt 'P 1'
_space_group_IT_number 1
_space_group_name_Hall 'P 1'
_cell_length_a 5.486
_cell_length_b 5.486
_cell_length_c 5.486
_cell_angle_alpha 90.00
_cell_angle_beta 90.00
_cell_angle_gamma 90.00
loop_
_atom_site_label
_atom_site_type_symbol
_atom_site_fract_x
_atom_site_fract_y
_atom_site_fract_z
Hg1 Hg 0.000 0.000 0.500
Hg2 Hg 0.500 0.000 0.000
Hg3 Hg 0.000 0.500 0.000
H1 H 0.500 0.500 0.500
Ta1 Ta 0.000 0.000 0.000

***

Which structure is most stable? *i*, by 422 meV per atom over the runner-up.